# Ni2Ag2AsO6 | Alexandria via LeMat-Bulk | PBE with a Hubbard U | relaxed
# - Energy: -54.4 eV for the cell shown
# - V: 140.1 Å³/cell
data_Ni2Ag2AsO6
_chemical_formula_sum 'Ni2 Ag2 As1 O6'
_space_group_name_H-M_alt 'P 1'
_space_group_IT_number 1
_cell_length_a 5.173
_cell_length_b 5.173
_cell_length_c 6.083
_cell_angle_alpha 91.50
_cell_angle_beta 91.50
_cell_angle_gamma 120.49
loop_
_space_group_symop_operation_xyz
'x,y,z'
loop_
_atom_site_label
_atom_site_type_symbol
_atom_site_fract_x
_atom_site_fract_y
_atom_site_fract_z
Ni1 Ni 0.164 0.836 0.000
Ni2 Ni 0.836 0.164 0.000
Ag1 Ag 0.341 0.659 0.500
Ag2 Ag 0.659 0.341 0.500
As1 As 0.500 0.500 0.000
O1 O 0.191 0.191 0.835
O2 O 0.202 0.513 0.169
O3 O 0.487 0.798 0.831
O4 O 0.513 0.202 0.169
O5 O 0.798 0.487 0.831
O6 O 0.809 0.809 0.165